# CePd3Au9, relaxed, DFT PBE
data_CePd3Au9
_symmetry_space_group_name_H-M 'C 1 2/m 1'
_symmetry_Int_Tables_number 12
_cell_length_a 5.652
_cell_length_b 13.146
_cell_length_c 7.208
_cell_angle_alpha 90.00
_cell_angle_beta 112.24
_cell_angle_gamma 90.00
loop_
_symmetry_equiv_pos_as_xyz
'x,y,z'
'-x,-y,-z'
'-x,y,-z'
'x,-y,z'
'x+1/2,y+1/2,z'
'-x+1/2,-y+1/2,-z'
'-x+1/2,y+1/2,-z'
'x+1/2,-y+1/2,z'
loop_
_atom_site_label
_atom_site_type_symbol
_atom_site_fract_x
_atom_site_fract_y
_atom_site_fract_z
Ce1 Ce 0.000 0.000 0.000
Pd1 Pd 0.000 0.000 0.500
Pd2 Pd 0.250 0.250 0.000
Au1 Au 0.000 0.500 0.500
Au2 Au 0.109 0.391 0.214
Au3 Au 0.158 0.172 0.337
# E_form = -0.246 eV/atom
# calculated volume = 19.07 Å³/atom

---

# Ce4Pd2Au5, relaxed, DFT PBE
data_Ce4Pd2Au5
_symmetry_space_group_name_H-M 'P 1 2/m 1'
_symmetry_Int_Tables_number 10
_cell_length_a 7.583
_cell_length_b 3.770
_cell_length_c 9.054
_cell_angle_alpha 90.00
_cell_angle_beta 91.84
_cell_angle_gamma 90.00
loop_
_symmetry_equiv_pos_as_xyz
'x,y,z'
'-x,-y,-z'
'-x,y,-z'
'x,-y,z'
loop_
_atom_site_label
_atom_site_type_symbol
_atom_site_fract_x
_atom_site_fract_y
_atom_site_fract_z
Ce1 Ce 0.212 0.000 0.359
Ce2 Ce 0.247 0.000 0.901
Pd1 Pd 0.071 0.500 0.139
Au1 Au 0.148 0.500 0.622
Au2 Au 0.439 0.500 0.155
Au3 Au 0.500 0.500 0.500
# E_form = -0.668 eV/atom
# calculated volume = 23.52 Å³/atom

---

# Ce2Pd6Au3, relaxed, DFT PBE
data_Ce2Pd6Au3
_symmetry_space_group_name_H-M 'I 4/m m m'
_symmetry_Int_Tables_number 139
_symmetry_space_group_name_Hall '-I 4 2'
_cell_length_a 3.821
_cell_length_b 3.821
_cell_length_c 30.460
_cell_angle_alpha 90.00
_cell_angle_beta 90.00
_cell_angle_gamma 90.00
loop_
_atom_site_label
_atom_site_type_symbol
_atom_site_fract_x
_atom_site_fract_y
_atom_site_fract_z
Ce1 Ce 0.000 0.000 0.135
Pd1 Pd 0.000 0.000 0.224
Pd2 Pd 0.000 0.500 0.067
Au1 Au 0.000 0.000 0.314
Au2 Au 0.000 0.000 0.500
# E_form = -0.323 eV/atom
# calculated volume = 20.21 Å³/atom

---

# CePd7Au5, relaxed, DFT PBE
data_CePd7Au5
_symmetry_space_group_name_H-M 'I m m 2'
_symmetry_Int_Tables_number 44
_cell_length_a 5.491
_cell_length_b 9.275
_cell_length_c 9.281
_cell_angle_alpha 90.00
_cell_angle_beta 90.00
_cell_angle_gamma 90.00
loop_
_symmetry_equiv_pos_as_xyz
'x,y,z'
'-x,-y,z'
'-x,y,z'
'x,-y,z'
'x+1/2,y+1/2,z+1/2'
'-x+1/2,-y+1/2,z+1/2'
'-x+1/2,y+1/2,z+1/2'
'x+1/2,-y+1/2,z+1/2'
loop_
_atom_site_label
_atom_site_type_symbol
_atom_site_fract_x
_atom_site_fract_y
_atom_site_fract_z
Ce1 Ce 0.000 0.000 0.000
Pd1 Pd 0.000 0.000 0.337
Pd2 Pd 0.000 0.000 0.640
Pd3 Pd 0.000 0.281 0.486
Pd4 Pd 0.000 0.346 0.986
Pd5 Pd 0.000 0.500 0.696
Au1 Au 0.000 0.500 0.275
Au2 Au 0.249 0.253 0.737
# E_form = -0.229 eV/atom
# calculated volume = 18.18 Å³/atom

---

# CePd6Au5, relaxed, DFT PBE
data_CePd6Au5
_symmetry_space_group_name_H-M 'I m m m'
_symmetry_Int_Tables_number 71
_symmetry_space_group_name_Hall '-I 2 2'
_cell_length_a 4.295
_cell_length_b 7.705
_cell_length_c 12.619
_cell_angle_alpha 90.00
_cell_angle_beta 90.00
_cell_angle_gamma 90.00
loop_
_atom_site_label
_atom_site_type_symbol
_atom_site_fract_x
_atom_site_fract_y
_atom_site_fract_z
Ce1 Ce 0.000 0.000 0.000
Pd1 Pd 0.000 0.248 0.165
Pd2 Pd 0.000 0.249 0.500
Au1 Au 0.000 0.000 0.333
Au2 Au 0.000 0.500 0.000
Au3 Au 0.000 0.500 0.330
# E_form = -0.351 eV/atom
# calculated volume = 17.40 Å³/atom

---

# CePd2Au, relaxed, DFT PBE
data_CePd2Au
_symmetry_space_group_name_H-M 'P 4/m m m'
_symmetry_Int_Tables_number 123
_symmetry_space_group_name_Hall '-P 4 2'
_cell_length_a 3.632
_cell_length_b 3.632
_cell_length_c 5.942
_cell_angle_alpha 90.00
_cell_angle_beta 90.00
_cell_angle_gamma 90.00
loop_
_atom_site_label
_atom_site_type_symbol
_atom_site_fract_x
_atom_site_fract_y
_atom_site_fract_z
Ce1 Ce 0.000 0.000 0.000
Pd1 Pd 0.500 0.500 0.259
Au1 Au 0.000 0.000 0.500
# E above lowest polymorph = 0.583 eV per formula unit
# E_form = -0.545 eV/atom
# calculated volume = 19.59 Å³/atom

---

# CePdAu, relaxed, DFT PBE
data_CePdAu
_symmetry_space_group_name_H-M 'I 4 m m'
_symmetry_Int_Tables_number 107
_symmetry_space_group_name_Hall 'I 4 -2'
_cell_length_a 3.755
_cell_length_b 3.755
_cell_length_c 9.180
_cell_angle_alpha 90.00
_cell_angle_beta 90.00
_cell_angle_gamma 90.00
loop_
_atom_site_label
_atom_site_type_symbol
_atom_site_fract_x
_atom_site_fract_y
_atom_site_fract_z
Ce1 Ce 0.000 0.000 0.000
Pd1 Pd 0.000 0.000 0.339
Au1 Au 0.000 0.000 0.671
# E above lowest polymorph = 0.048 eV per formula unit
# E_form = -0.662 eV/atom
# calculated volume = 21.58 Å³/atom

---

# Ce2PdAu, relaxed, DFT PBE
data_Ce2PdAu
_symmetry_space_group_name_H-M 'P 4/m m m'
_symmetry_Int_Tables_number 123
_symmetry_space_group_name_Hall '-P 4 2'
_cell_length_a 3.636
_cell_length_b 3.636
_cell_length_c 7.248
_cell_angle_alpha 90.00
_cell_angle_beta 90.00
_cell_angle_gamma 90.00
loop_
_atom_site_label
_atom_site_type_symbol
_atom_site_fract_x
_atom_site_fract_y
_atom_site_fract_z
Ce1 Ce 0.000 0.000 0.239
Pd1 Pd 0.500 0.500 0.000
Au1 Au 0.500 0.500 0.500
# E_form = -0.600 eV/atom
# calculated volume = 23.96 Å³/atom

---

# CePd4Au2, relaxed, DFT PBE
data_CePd4Au2
_symmetry_space_group_name_H-M 'C m c m'
_symmetry_Int_Tables_number 63
_symmetry_space_group_name_Hall '-C 2c 2'
_cell_length_a 4.898
_cell_length_b 7.887
_cell_length_c 13.413
_cell_angle_alpha 90.00
_cell_angle_beta 90.00
_cell_angle_gamma 90.00
loop_
_atom_site_label
_atom_site_type_symbol
_atom_site_fract_x
_atom_site_fract_y
_atom_site_fract_z
Ce1 Ce 0.000 0.059 0.250
Pd1 Pd 0.000 0.000 0.000
Pd2 Pd 0.000 0.270 0.646
Pd3 Pd 0.000 0.413 0.250
Au1 Au 0.000 0.342 0.055
# E above lowest polymorph = 0.000 eV per formula unit
# E_form = -0.379 eV/atom
# calculated volume = 18.50 Å³/atom

---

# CePdAu, relaxed, DFT PBE
data_CePdAu
_symmetry_space_group_name_H-M 'P -6 m 2'
_symmetry_Int_Tables_number 187
_symmetry_space_group_name_Hall 'P -6 2'
_cell_length_a 4.7116
_cell_length_b 4.7116
_cell_length_c 3.4142
_cell_angle_alpha 90.00
_cell_angle_beta 90.00
_cell_angle_gamma 120.00
loop_
_atom_site_label
_atom_site_type_symbol
_atom_site_fract_x
_atom_site_fract_y
_atom_site_fract_z
Ce1 Ce 0.0000 0.0000 0.0000
Pd1 Pd 0.3333 0.6667 0.5000
Au1 Au 0.6667 0.3333 0.5000
# E above lowest polymorph = 0.018 eV per formula unit
# E_form = -0.672 eV/atom
# calculated volume = 21.88 Å³/atom

---

# Ce3PdAu, relaxed, DFT PBE
data_Ce3PdAu
_symmetry_space_group_name_H-M 'P n m a'
_symmetry_Int_Tables_number 62
_cell_length_a 11.870
_cell_length_b 3.849
_cell_length_c 11.863
_cell_angle_alpha 90.00
_cell_angle_beta 90.00
_cell_angle_gamma 90.00
loop_
_symmetry_equiv_pos_as_xyz
'x,y,z'
'-x,-y,-z'
'-x+1/2,-y,z+1/2'
'x+1/2,y,-z+1/2'
'x+1/2,-y+1/2,-z+1/2'
'-x+1/2,y+1/2,z+1/2'
'-x,y+1/2,-z'
'x,-y+1/2,z'
loop_
_atom_site_label
_atom_site_type_symbol
_atom_site_fract_x
_atom_site_fract_y
_atom_site_fract_z
Ce1 Ce 0.045 0.250 0.144
Ce2 Ce 0.123 0.750 0.567
Ce3 Ce 0.221 0.250 0.796
Pd1 Pd 0.031 0.750 0.333
Au1 Au 0.185 0.750 0.002
# E_form = -0.418 eV/atom
# calculated volume = 27.10 Å³/atom

---

# CePd8Au3, relaxed, DFT PBE
data_CePd8Au3
_symmetry_space_group_name_H-M 'P 3 m 1'
_symmetry_Int_Tables_number 156
_cell_length_a 5.3201
_cell_length_b 5.3201
_cell_length_c 8.5899
_cell_angle_alpha 90.00
_cell_angle_beta 90.00
_cell_angle_gamma 120.00
loop_
_symmetry_equiv_pos_as_xyz
'x,y,z'
'-y,x-y,z'
'-x+y,-x,z'
'-y,-x,z'
'-x+y,y,z'
'x,x-y,z'
loop_
_atom_site_label
_atom_site_type_symbol
_atom_site_fract_x
_atom_site_fract_y
_atom_site_fract_z
Ce1 Ce 0.0000 0.0000 0.0000
Pd1 Pd 0.1638 0.3276 0.6880
Pd2 Pd 0.3333 0.6667 0.4364
Pd3 Pd 0.3333 0.6667 0.9377
Pd4 Pd 0.5036 0.0072 0.1886
Au1 Au 0.0000 0.0000 0.3920
Au2 Au 0.6667 0.3333 0.4984
Au3 Au 0.6667 0.3333 0.8660
# E_form = -0.210 eV/atom
# calculated volume = 17.55 Å³/atom

---

| no. | DOS at the Fermi energy (states/eV/cell) |
| --- | --- |
| 1 | 22.47 |
| 2 | 27.09 |
| 3 | 16.49 |
| 4 | 20.58 |
| 5 | 10.01 |
| 6 | 4.64 |
| 7 | 11.34 |
| 8 | 12.84 |
| 9 | 25.88 |
| 10 | 5.42 |
| 11 | 63.58 |
| 12 | 12.28 |